This record from the Open Quantum Materials Database describes crystalline Sm5Tl3Cd at its relaxed geometry. The functional is PBE.

Lattice parameters (Å, degrees): 9.5104 9.5104 6.7926 90.00 90.00 120.00
Fractional coordinates of all 18 atoms:
Sm (0.0000, 0.2901, 0.2500)
Sm (0.0000, 0.7099, 0.7500)
Sm (0.2901, 0.0000, 0.2500)
Sm (0.2901, 0.2901, 0.7500)
Sm (0.3333, 0.6667, 0.0000)
Sm (0.3333, 0.6667, 0.5000)
Sm (0.6667, 0.3333, 0.0000)
Sm (0.6667, 0.3333, 0.5000)
Sm (0.7099, 0.0000, 0.7500)
Sm (0.7099, 0.7099, 0.2500)
Tl (0.0000, 0.3703, 0.7500)
Tl (0.0000, 0.6297, 0.2500)
Tl (0.3703, 0.0000, 0.7500)
Tl (0.3703, 0.3703, 0.2500)
Tl (0.6297, 0.0000, 0.2500)
Tl (0.6297, 0.6297, 0.7500)
Cd (0.0000, 0.0000, 0.0000)
Cd (0.0000, 0.0000, 0.5000)

Properties
The space group is P6_3/mcm (193). Its total magnetic moment is 0.00 Bohr magnetons per cell. Its total energy is -3.85 eV/atom.

This record from the Open Quantum Materials Database describes crystalline ZnTcNiAs at its relaxed geometry. The functional is PBE.

Lattice parameters (Å, degrees): 4.2441 4.2441 4.2441 60.00 60.00 60.00
Fractional coordinates of all 4 atoms:
Zn (0.0000, 0.0000, 0.0000)
Tc (0.2500, 0.2500, 0.2500)
Ni (0.7500, 0.7500, 0.7500)
As (0.5000, 0.5000, 0.5000)

Properties
The space group is F-43m (216). Its total magnetic moment is 0.10 Bohr magnetons per cell. Its total energy is -5.44 eV/atom.

This record from the Open Quantum Materials Database describes crystalline Co12W17 at its relaxed geometry. The functional is PBE.

Lattice parameters (Å, degrees): 8.0305 8.0305 8.0305 109.47 109.47 109.47
Fractional coordinates of all 29 atoms:
Co (0.0000, 0.1868, 0.3679)
Co (0.0000, 0.3679, 0.1868)
Co (0.1812, 0.8132, 0.8132)
Co (0.1868, 0.0000, 0.3679)
Co (0.1868, 0.3679, 0.0000)
Co (0.3679, 0.0000, 0.1868)
Co (0.3679, 0.1868, 0.0000)
Co (0.6321, 0.6321, 0.8188)
Co (0.6321, 0.8188, 0.6321)
Co (0.8132, 0.1812, 0.8132)
Co (0.8132, 0.8132, 0.1812)
Co (0.8188, 0.6321, 0.6321)
W (0.0000, 0.0000, 0.0000)
W (0.0000, 0.0000, 0.6513)
W (0.0000, 0.3930, 0.6840)
W (0.0000, 0.6513, 0.0000)
W (0.0000, 0.6840, 0.3930)
W (0.2909, 0.6070, 0.6070)
W (0.3160, 0.3160, 0.7091)
W (0.3160, 0.7091, 0.3160)
W (0.3487, 0.3487, 0.3487)
W (0.3930, 0.0000, 0.6840)
W (0.3930, 0.6840, 0.0000)
W (0.6070, 0.2909, 0.6070)
W (0.6070, 0.6070, 0.2909)
W (0.6513, 0.0000, 0.0000)
W (0.6840, 0.0000, 0.3930)
W (0.6840, 0.3930, 0.0000)
W (0.7091, 0.3160, 0.3160)

Properties
The space group is I-43m (217). Its total magnetic moment is 13.82 Bohr magnetons per cell. The formation energy is 0.17 eV/atom. Its energy above the most stable polymorph in this dataset is 0.000 eV/f.u.

This record from the Open Quantum Materials Database describes crystalline Lu4BiAsC2 at its relaxed geometry. The functional is PBE.

Lattice parameters (Å, degrees): 3.5999 3.5999 14.3239 90.00 90.00 120.00
Fractional coordinates of all 8 atoms:
Lu (0.0000, 0.0000, 0.1403)
Lu (0.0000, 0.0000, 0.8597)
Lu (0.6667, 0.3333, 0.3195)
Lu (0.6667, 0.3333, 0.6805)
Bi (0.0000, 0.0000, 0.5000)
As (0.6667, 0.3333, 0.0000)
C (0.3333, 0.6667, 0.2361)
C (0.3333, 0.6667, 0.7639)

Properties
The space group is P-6m2 (187). Its total magnetic moment is 0.01 Bohr magnetons per cell. Its total energy is -6.38 eV/atom.

This record from the Open Quantum Materials Database describes crystalline RbLaNp at its relaxed geometry. The functional is PBE.

Lattice parameters (Å, degrees): 5.9487 5.9487 5.9487 60.00 60.00 60.00
Fractional coordinates of all 3 atoms:
Rb (0.0000, 0.0000, 0.0000)
La (0.7500, 0.7500, 0.7500)
Np (0.5000, 0.5000, 0.5000)

Properties
The space group is F-43m (216). Its total magnetic moment is 7.68 Bohr magnetons per cell. Its total energy is -4.60 eV/atom.

This record from the Open Quantum Materials Database describes crystalline NaAgNO at its relaxed geometry. The functional is PBE.

Lattice parameters (Å, degrees): 3.4664 6.2740 5.8220 90.00 90.00 90.00
Fractional coordinates of all 8 atoms:
Na (0.0000, 0.1767, 0.0000)
Na (0.0000, 0.8233, 0.5000)
Ag (0.5000, 0.3301, 0.4939)
Ag (0.5000, 0.6699, 0.9939)
N (0.5000, 0.3919, 0.8243)
N (0.5000, 0.6081, 0.3243)
O (0.0000, 0.1641, 0.3874)
O (0.0000, 0.8359, 0.8874)

Properties
The space group is Pmc2_1 (26). Its energy above the most stable polymorph in this dataset is 0.241 eV/f.u.

This record from the Open Quantum Materials Database describes crystalline Cu2Ag at its relaxed geometry. The functional is PBE.

Lattice parameters (Å, degrees): 7.0731 7.0731 6.6050 92.52 92.52 22.34
Fractional coordinates of all 9 atoms:
Cu (0.0000, 0.0000, 0.0000)
Cu (0.3340, 0.3340, 0.0028)
Cu (0.5546, 0.5546, 0.3115)
Cu (0.6658, 0.6658, 0.0090)
Cu (0.7719, 0.7719, 0.7008)
Cu (0.8991, 0.8991, 0.3032)
Ag (0.1080, 0.1080, 0.6674)
Ag (0.2319, 0.2319, 0.3422)
Ag (0.4311, 0.4311, 0.6526)

Properties
The space group is Cm (8). The formation energy is 0.09 eV/atom. Its energy above the most stable polymorph in this dataset is 0.130 eV/f.u.

This record from the Open Quantum Materials Database describes crystalline ZrZnCoAs at its relaxed geometry. The functional is PBE.

Lattice parameters (Å, degrees): 4.4735 4.4735 4.4735 60.00 60.00 60.00
Fractional coordinates of all 4 atoms:
Zr (0.0000, 0.0000, 0.0000)
Zn (0.7500, 0.7500, 0.7500)
Co (0.5000, 0.5000, 0.5000)
As (0.2500, 0.2500, 0.2500)

Properties
The space group is F-43m (216). Its total magnetic moment is 0.06 Bohr magnetons per cell. Its energy above the most stable polymorph in this dataset is 0.000 eV/f.u.

| no. | volume (Å³/cell) |
| --- | --- |
| 1 | 532.1 |
| 2 | 54.1 |
| 3 | 398.7 |
| 4 | 160.8 |
| 5 | 148.9 |
| 6 | 126.6 |
| 7 | 125.5 |
| 8 | 63.3 |